(1)
{"formula": "SrCrMo2", "functional": "GGA-PBE", "state": "optimized geometry", "de_polymorph_ev_per_atom": 0.260, "ef_mev_per_atom": 925, "crystal_system": "trigonal", "space_group": "R-3m (166)", "lattice_angstrom": [[1.5415, 0.8900, 9.1639], [-1.5415, 0.8900, 9.1639], [0.0000, -1.7799, 9.1639]], "species": ["Sr", "Cr", "Mo", "Mo"], "fractional_positions": [[0.0000, 0.0000, 0.0000], [0.5000, 0.5000, 0.5000], [0.2304, 0.2304, 0.2304], [0.7696, 0.7696, 0.7696]]}

(2)
{"formula": "Sr2ZnN2", "functional": "GGA-PBE", "state": "optimized geometry", "crystal_system": "tetragonal", "e_form_raw_ev_per_fu": 0.04, "space_group": "P4/mbm (127)", "lattice_angstrom": [[6.9327, 0.0000, 0.0000], [0.0000, 6.9327, 0.0000], [0.0000, 0.0000, 3.6082]], "species": ["Sr", "Sr", "Sr", "Sr", "Zn", "Zn", "N", "N", "N", "N"], "fractional_positions": [[0.1462, 0.3538, 0.0000], [0.3538, 0.8538, 0.0000], [0.6462, 0.1462, 0.0000], [0.8538, 0.6462, 0.0000], [0.0000, 0.0000, 0.5000], [0.5000, 0.5000, 0.5000], [0.1720, 0.6720, 0.5000], [0.3280, 0.1720, 0.5000], [0.6720, 0.8280, 0.5000], [0.8280, 0.3280, 0.5000]]}

(3)
{"formula": "Nd2ErCuSe5", "functional": "GGA-PBE", "state": "optimized geometry", "crystal_system": "orthorhombic", "e_form_raw_ev_per_fu": -14.35, "space_group": "Cmc2_1 (36)", "lattice_angstrom": [[2.0333, -8.8318, 0.0000], [2.0333, 8.8318, 0.0000], [0.0000, 0.0000, 12.1471]], "species": ["Nd", "Nd", "Nd", "Nd", "Er", "Er", "Cu", "Cu", "Se", "Se", "Se", "Se", "Se", "Se", "Se", "Se", "Se", "Se"], "fractional_positions": [[0.1090, 0.8910, 0.5000], [0.1228, 0.8772, 0.1228], [0.8772, 0.1228, 0.6228], [0.8910, 0.1090, 0.0000], [0.1934, 0.8066, 0.8241], [0.8066, 0.1934, 0.3241], [0.4352, 0.5648, 0.2682], [0.5648, 0.4352, 0.7682], [0.0432, 0.9568, 0.8750], [0.2877, 0.7123, 0.4857], [0.3116, 0.6884, 0.1607], [0.3559, 0.6441, 0.8146], [0.4992, 0.5008, 0.5940], [0.5008, 0.4992, 0.0940], [0.6441, 0.3559, 0.3146], [0.6884, 0.3116, 0.6607], [0.7123, 0.2877, 0.9857], [0.9568, 0.0432, 0.3750]]}

(4)
{"formula": "TbTmZnNi", "functional": "GGA-PBE", "state": "optimized geometry", "de_polymorph_ev_per_atom": 0.000, "ef_mev_per_atom": -388, "crystal_system": "tetragonal", "space_group": "P4mm (99)", "lattice_angstrom": [[3.4454, 0.0000, 0.0000], [0.0000, 3.4454, 0.0000], [0.0000, 0.0000, 6.9419]], "species": ["Tb", "Tm", "Zn", "Ni"], "fractional_positions": [[0.0000, 0.0000, 0.0000], [0.0000, 0.0000, 0.5320], [0.5000, 0.5000, 0.2741], [0.5000, 0.5000, 0.7566]]}

(5)
{"formula": "La2NiBr", "functional": "GGA-PBE", "state": "optimized geometry", "de_polymorph_ev_per_atom": 0.288, "crystal_system": "tetragonal", "e_form_raw_ev_per_fu": -2.34, "space_group": "I-42d (122)", "lattice_angstrom": [[-3.8070, 3.8070, 4.1974], [3.8070, -3.8070, 4.1974], [3.8070, 3.8070, -4.1974]], "species": ["La", "La", "La", "La", "Ni", "Ni", "Br", "Br"], "fractional_positions": [[0.0770, 0.6250, 0.9520], [0.3750, 0.3270, 0.4520], [0.6730, 0.1250, 0.0480], [0.8750, 0.9230, 0.5480], [0.0000, 0.0000, 0.0000], [0.7500, 0.2500, 0.5000], [0.2500, 0.7500, 0.5000], [0.5000, 0.5000, 0.0000]]}

(6)
{"formula": "LiCeMg2Tl4", "functional": "GGA-PBE", "state": "optimized geometry", "ef_mev_per_atom": -186, "crystal_system": "trigonal", "space_group": "R-3m (166)", "lattice_angstrom": [[2.5647, 1.4807, 8.8003], [-2.5647, 1.4807, 8.8003], [0.0000, -2.9615, 8.8003]], "species": ["Li", "Ce", "Mg", "Mg", "Tl", "Tl", "Tl", "Tl"], "fractional_positions": [[0.0000, 0.0000, 0.0000], [0.5000, 0.5000, 0.5000], [0.2497, 0.2497, 0.2497], [0.7503, 0.7503, 0.7503], [0.1155, 0.1155, 0.1155], [0.3700, 0.3700, 0.3700], [0.6300, 0.6300, 0.6300], [0.8845, 0.8845, 0.8845]]}

(7)
{"formula": "Mg2Si", "functional": "GGA-PBE", "state": "optimized geometry", "crystal_system": "triclinic", "e_form_raw_ev_per_fu": 0.18, "space_group": "P1 (1)", "lattice_angstrom": [[5.5923, 0.0000, 0.0000], [-2.7827, 6.2859, 0.0000], [-2.5346, -1.7079, 7.0430]], "species": ["Mg", "Mg", "Mg", "Mg", "Mg", "Mg", "Mg", "Mg", "Si", "Si", "Si", "Si"], "fractional_positions": [[0.0000, 0.0000, 0.0000], [0.0054, 0.3171, 0.6935], [0.1426, 0.4929, 0.1450], [0.3167, 0.2062, 0.4405], [0.4173, 0.7849, 0.5645], [0.5326, 0.1947, 0.8785], [0.6426, 0.0011, 0.2597], [0.7661, 0.5367, 0.3422], [0.2680, 0.7718, 0.8831], [0.5733, 0.5964, 0.9880], [0.7484, 0.5741, 0.7347], [0.9846, 0.9229, 0.6033]]}

(8)
{"formula": "SmSi2Au", "functional": "GGA-PBE", "state": "optimized geometry", "crystal_system": "orthorhombic", "e_form_raw_ev_per_fu": -1.36, "space_group": "Amm2 (38)", "lattice_angstrom": [[3.8344, 0.0000, 0.0000], [0.0000, 2.9790, 3.7883], [0.0000, -2.9790, 3.7883]], "species": ["Sm", "Si", "Si", "Au"], "fractional_positions": [[0.0000, 0.0000, 0.0000], [0.5000, 0.5185, 0.8999], [0.5000, 0.8999, 0.5185], [0.5000, 0.4137, 0.4137]]}

no.,calculated density (Mg/m³),final energy (eV/atom)
1,7.3,-7.32
2,5.1,-4.25
3,7.0,-5.55
4,9.1,-4.43
5,5.7,-4.91
6,8.4,-2.75
7,2.1,-2.81
8,7.7,-5.05